# Cr3Br

An optimized crystal structure of Cr3Br (PBE, Alexandria).

Computed properties:
For the polymorph energy (0 for the lowest one), the calculation gives 442.8 meV/atom. The spin magnetization comes out at 0.64 μB per cell. As for the space group: P6_3/mmc (194). As for the density of states at the Fermi level: 0.8812 states/eV/atom. Its formation energy from raw total energies is 0.87 eV/atom. The value obtained for the total energy is -108.3 eV/cell.

```
Cr3Br
1.0
7.0446 0.0000 0.0000
-3.5223 6.1008 0.0000
0.0000 0.0000 6.8139
Cr Br
12 4
Cartesian
-1.7612 3.0504 0.0000 Cr
-1.7612 3.0504 3.4070 Cr
0.0000 2.3143 1.7035 Cr
-1.5181 4.9437 1.7035 Cr
2.0042 1.1571 5.1105 Cr
3.5223 0.0000 0.0000 Cr
3.5223 0.0000 3.4070 Cr
1.7612 3.0504 0.0000 Cr
1.7612 3.0504 3.4070 Cr
1.5181 4.9437 1.7035 Cr
5.0404 1.1571 5.1105 Cr
3.5223 3.7865 5.1105 Cr
0.0000 0.0000 0.0000 Br
0.0000 0.0000 3.4070 Br
0.0000 4.0672 5.1105 Br
3.5223 2.0336 1.7035 Br
```